First-principles (PBE-GGA) data for a relaxed Y3MgTc crystal, as listed in the Alexandria database.

Cell lengths 5.376, 5.376, 5.376 Å; angles 90.00, 90.00, 90.00 degrees
Positions (direct):
Y1 0.000 0.000 0.500
Y2 0.000 0.500 0.000
Y3 0.500 0.000 0.000
Mg1 0.500 0.500 0.500
Tc1 0.000 0.000 0.000

## Properties
- Energy of formation from the pure elements: 154 meV/atom
- Theoretical density: 4.16 Mg/m³
- Total energy: -6.117 eV/atom
- Space-group type: Pm-3m (221)
- E above lowest polymorph: 0.1450 eV/atom

***

First-principles (PBE-GGA) data for a relaxed YMgTc2 crystal, as listed in the Alexandria database.

Cell lengths 5.390, 5.390, 5.390 Å; angles 141.91, 129.91, 64.62 degrees
Positions (direct):
Y1 0.000 0.000 0.000
Mg1 0.500 0.500 0.000
Tc1 0.251 0.751 0.500
Tc2 0.749 0.249 0.500

## Properties
- Energy of formation from the pure elements: 379 meV/atom
- Theoretical density: 7.02 Mg/m³
- Total energy: -6.819 eV/atom
- Space-group type: Immm (71)

***

First-principles (PBE-GGA) data for a relaxed YMgTc2 crystal, as listed in the Alexandria database.

Cell lengths 5.458, 5.458, 2.865 Å; angles 100.24, 100.24, 116.24 degrees
Positions (direct):
Y1 0.000 0.000 0.000
Mg1 0.500 0.500 0.000
Tc1 0.000 0.500 0.500
Tc2 0.500 0.000 0.500

## Properties
- Energy of formation from the pure elements: 360 meV/atom
- Theoretical density: 7.12 Mg/m³
- Total energy: -6.838 eV/atom
- Space-group type: C2/m (12)

***

total energy of number 3 (YMgTc2)? -6.838 eV/atom